VASP calculation (PBE) on a geometry-optimized TmAgAs2 structure.

Calculated values
- calculated density (Mg/m³) = 8.1
- calculated formation energy (meV/atom) = -418

abc: 4.2335 4.2335 16.9857
angles: 90.00 90.00 120.00
Space group R-3m (No. 166, hexagonal axes)
Symmetry-distinct sites (fractional):
Tm: 0.0000 0.0000 0.0000 x3
Ag: 0.0000 0.0000 0.5000 x3
As: 0.0000 0.0000 0.2465 x6